# 1
DFT (GGA-PBE) results for a geometry-optimized Zn2InPtCl structure.

The structure belongs to space group P4/mmm (No. 123); the cell edges are 5.141, 5.141 and 4.589 Å and the angles 90.00°, 90.00° and 90.00°. The inequivalent atoms are Zn at (0.000, 0.500, 0.000), In at (0.000, 0.000, 0.500), Pt at (0.500, 0.500, 0.500) and Cl at (0.500, 0.500, 0.000).

The uncorrected formation energy is 0.55 eV per atom. The uncorrected energy comes out at -2.089 eV per atom. For the density of states at the Fermi level, the calculation gives 1.3 states/eV per cell.

# 2
DFT (GGA-PBE) results for a geometry-optimized Y3Tc5N12 structure.

The structure belongs to space group Ia-3d (No. 230); the cell edges are 12.693, 12.693 and 12.693 Å and the angles 90.00°, 90.00° and 90.00°. The inequivalent atoms are Y at (0.000, 0.250, 0.125), Tc at (0.000, 0.000, 0.000), Tc at (0.000, 0.250, 0.375) and N at (0.033, 0.050, 0.650).

The uncorrected formation energy is -0.44 eV per atom. The uncorrected energy comes out at -8.993 eV per atom. For the density of states at the Fermi level, the calculation gives 66.7 states/eV per cell.

# 3
DFT (GGA-PBE) results for a geometry-optimized SrTc2As structure.

The structure belongs to space group Imm2 (No. 44); the cell edges are 3.169, 5.429 and 9.588 Å and the angles 90.00°, 90.00° and 90.00°. The inequivalent atoms are Sr at (0.000, 0.000, 0.000), Tc at (0.000, 0.000, 0.500), Tc at (0.000, 0.500, 0.807) and As at (0.000, 0.500, 0.218).

The uncorrected energy comes out at -6.283 eV per atom. For the density of states at the Fermi level, the calculation gives 7.5 states/eV per cell. The value obtained for the energy of formation from the pure elements is 46.6 kJ per mole of atoms.

Across the entries above, total magnetic moment takes the values 0.00 0.00 0.00 μB per formula unit, respectively.